1.
BPHAu | GGA-PBE | relaxed

Calculated values
Energy relative to the lowest polymorph listed for this composition in meV/atom: 117.6
Magnetic moment in μB/cell: 0.0
Symmetry: R3m (160)

The structure in POSCAR format:
```
BPHAu
1.0
-1.4636 -2.5548 1.2931
2.1691 1.6468 1.7101
-13.1157 10.7128 6.3203
B Au H P
3 3 3 3
Direct
0.6667 0.3333 0.5951
0.0000 0.0000 0.2617
0.3333 0.6667 0.9284
0.0000 0.0000 0.1413
0.6667 0.3333 0.4746
0.3333 0.6667 0.8079
0.0000 0.0000 0.0391
0.3333 0.6667 0.7058
0.6667 0.3333 0.3724
0.6667 0.3333 0.2881
0.0000 0.0000 0.9548
0.3333 0.6667 0.6215
```

2.
Er8BTe4S3 | GGA-PBE | relaxed

Calculated values
Uncorrected formation energy in kJ/mol of formula units: -2255
N(E_F) in states/eV per cell: 4.7
Magnetic moment in μB/cell: 0.0
Symmetry: R-3m (166)

The structure in POSCAR format:
```
Er8BTe4S3
1.0
8.0151 0.0000 0.0000
0.0000 8.3506 0.2326
-4.0076 -4.0046 5.6697
S Er Te B
3 8 4 1
Direct
0.5000 0.5000 0.5000
0.0000 0.5000 0.5000
0.5000 0.5000 0.0000
0.7775 0.2994 0.5550
0.2225 0.7006 0.9780
0.7555 0.7006 0.9780
0.7775 0.2994 0.0220
0.2225 0.7006 0.4450
0.2650 0.2951 0.5301
0.7350 0.7049 0.4699
0.2445 0.2994 0.0220
0.5000 0.0000 0.0000
0.5000 0.0000 0.5000
0.0000 0.0000 0.5000
0.0000 0.0000 0.0000
0.0000 0.5000 0.0000
```

3.
Np3Tl2AgS8 | GGA-PBE | relaxed

Calculated values
Uncorrected formation energy in kJ/mol of formula units: -1238
N(E_F) in states/eV per cell: 24.5
Magnetic moment in μB/cell: 8.0
Symmetry: R3m (160)

The structure in POSCAR format:
```
Np3Tl2AgS8
1.0
-7.8097 1.6089 -0.2846
-4.6211 -3.6048 -5.4140
-5.5174 -6.4458 3.1220
S Tl Np Ag
8 2 3 1
Direct
0.7506 0.2908 0.2080
0.2357 0.2357 0.8334
0.7506 0.7506 0.2080
0.2908 0.7506 0.2080
0.2357 0.6952 0.8334
0.2676 0.2676 0.1971
0.7198 0.7198 0.8405
0.6952 0.2357 0.8334
0.4884 0.4884 0.5348
0.1273 0.1273 0.6182
0.4942 0.9924 0.0193
0.4942 0.4942 0.0193
0.9924 0.4942 0.0193
0.9502 0.9502 0.1494
```